Entry 1:
First-principles (PBE) data for Dy2HoPa after structural relaxation, as listed in the Alexandria database.

Geometry as POSCAR:
```
Dy2HoPa
1.0
3.406 0.000 0.000
0.000 3.406 0.000
0.000 0.000 10.151
Dy Ho Pa
2 1 1
Cartesian
0.000 0.000 2.380
0.000 0.000 7.771
1.703 1.703 5.076
1.703 1.703 0.000
```

## Properties
total moment: 0.0 μB/f.u.
volume: 117.8 Å³/f.u.
DFT formation energy: 130 meV per atom
total energy: -0.2091 Ha/atom
energy relative to the lowest polymorph listed for this composition: 0.0186 eV/atom


Entry 2:
First-principles (PBE) data for Dy2HoPa after structural relaxation, as listed in the Alexandria database.

Geometry as POSCAR:
```
Dy2HoPa
1.0
4.906 0.000 0.000
0.000 4.906 0.000
0.000 0.000 4.881
Dy Ho Pa
2 1 1
Cartesian
0.000 2.453 0.000
2.453 0.000 0.000
0.000 0.000 2.441
2.453 2.453 2.441
```

## Properties
total moment: 0.0 μB/f.u.
volume: 117.5 Å³/f.u.
DFT formation energy: 212 meV per atom
total energy: -0.2061 Ha/atom
energy relative to the lowest polymorph listed for this composition: 0.1000 eV/atom


Entry 3:
First-principles (PBE) data for Dy2HoPa after structural relaxation, as listed in the Alexandria database.

Geometry as POSCAR:
```
Dy2HoPa
1.0
3.326 0.000 0.000
-1.663 2.880 0.000
0.000 0.000 36.549
Dy Ho Pa
6 3 3
Cartesian
0.000 0.000 3.201
0.000 0.000 33.347
0.000 1.920 21.164
0.000 1.920 27.567
1.663 0.960 8.982
1.663 0.960 15.384
0.000 0.000 18.274
0.000 1.920 6.091
1.663 0.960 30.457
0.000 0.000 0.000
0.000 1.920 24.366
1.663 0.960 12.183
```

## Properties
total moment: 0.0 μB/f.u.
volume: 116.7 Å³/f.u.
DFT formation energy: 276 meV per atom
total energy: -0.2037 Ha/atom
energy relative to the lowest polymorph listed for this composition: 0.1649 eV/atom


Entry 4:
First-principles (PBE) data for Dy2HoPa after structural relaxation, as listed in the Alexandria database.

Geometry as POSCAR:
```
Dy2HoPa
1.0
3.426 0.000 0.000
-1.713 2.967 0.000
0.000 0.000 34.437
Dy Ho Pa
6 3 3
Cartesian
0.000 0.000 0.000
0.000 0.000 5.576
0.000 1.978 22.958
0.000 1.978 28.534
1.713 0.989 11.479
1.713 0.989 17.055
0.000 0.000 20.005
0.000 1.978 8.526
1.713 0.989 31.484
0.000 0.000 14.288
0.000 1.978 2.809
1.713 0.989 25.767
```

## Properties
total moment: 0.0 μB/f.u.
volume: 116.7 Å³/f.u.
DFT formation energy: 112 meV per atom
total energy: -0.2098 Ha/atom
energy relative to the lowest polymorph listed for this composition: 0.0000 eV/atom


Entry 5:
First-principles (PBE) data for Dy2HoPaRu2 after structural relaxation, as listed in the Alexandria database.

Geometry as POSCAR:
```
Dy2HoPaRu2
1.0
-3.402 6.809 3.352
3.402 -6.809 3.352
3.402 6.809 -3.352
Dy Ho Pa Ru
4 2 2 4
Cartesian
1.387 2.653 0.000
1.387 -2.653 3.352
2.015 9.463 0.000
2.015 4.156 3.352
3.402 0.000 1.676
0.000 6.809 1.676
0.000 0.000 1.676
0.000 0.000 5.028
5.397 1.407 0.000
1.995 5.403 0.000
1.408 1.407 3.352
-1.995 5.403 3.352
```

## Properties
total moment: 0.0 μB/f.u.
volume: 155.3 Å³/f.u.
DFT formation energy: -298 meV per atom
total energy: -0.2672 Ha/atom


Entry 6:
First-principles (PBE) data for Dy2HoPa2Ru5 after structural relaxation, as listed in the Alexandria database.

Geometry as POSCAR:
```
Dy2HoPa2Ru5
1.0
10.605 0.000 0.000
0.000 10.605 0.000
0.000 0.000 3.676
Dy Ho Pa Ru
4 2 4 10
Cartesian
1.827 3.476 0.000
3.476 8.778 0.000
7.130 1.827 0.000
8.778 7.130 0.000
0.000 0.000 0.000
5.303 5.303 0.000
1.431 6.733 0.000
3.872 1.431 0.000
6.733 9.174 0.000
9.174 3.872 0.000
0.000 5.303 1.838
0.578 8.396 1.838
2.209 0.578 1.838
3.094 5.881 1.838
4.724 3.094 1.838
5.303 0.000 1.838
5.881 7.511 1.838
7.511 4.724 1.838
8.396 10.027 1.838
10.027 2.209 1.838
```

## Properties
total moment: 0.0 μB/f.u.
volume: 206.7 Å³/f.u.
DFT formation energy: -321 meV per atom
total energy: -0.3027 Ha/atom


Entry 7:
First-principles (PBE) data for DyHoPa2S4 after structural relaxation, as listed in the Alexandria database.

Geometry as POSCAR:
```
DyHoPa2S4
1.0
6.559 0.000 0.000
0.000 3.783 0.000
-2.184 0.000 6.710
Dy Ho Pa S
1 1 2 4
Cartesian
0.000 0.000 0.000
3.279 1.891 0.000
-1.092 1.891 3.355
2.188 0.000 3.355
1.098 1.891 1.630
0.009 0.000 5.084
4.367 0.000 1.626
3.277 1.891 5.080
```

## Properties
total moment: 0.0 μB/f.u.
volume: 166.5 Å³/f.u.
total energy: -0.2703 Ha/atom
formation energy without anion corrections: -1.77 eV/atom


Entry 8:
First-principles (PBE) data for Dy2HoPaS4 after structural relaxation, as listed in the Alexandria database.

Geometry as POSCAR:
```
Dy2HoPaS4
1.0
6.757 0.000 0.000
0.000 3.867 0.000
-2.206 0.000 6.396
Dy Ho Pa S
2 1 1 4
Cartesian
0.000 0.000 0.000
-1.103 1.934 3.198
2.276 0.000 3.198
3.379 1.934 0.000
0.030 0.000 4.778
1.140 1.934 1.610
3.412 1.934 4.785
4.521 0.000 1.618
```

## Properties
total moment: 0.0 μB/f.u.
volume: 167.1 Å³/f.u.
total energy: -0.2516 Ha/atom
formation energy without anion corrections: -1.87 eV/atom


Entry 9:
First-principles (PBE) data for Dy2HoPaSe4 after structural relaxation, as listed in the Alexandria database.

Geometry as POSCAR:
```
Dy2HoPaSe4
1.0
7.053 0.000 0.000
0.000 4.021 0.000
-2.289 0.000 6.707
Dy Ho Pa Se
2 1 1 4
Cartesian
0.000 0.000 0.000
-1.144 2.011 3.353
2.382 0.000 3.353
3.527 2.011 0.000
0.037 0.000 5.005
1.187 2.011 1.693
3.578 2.011 5.014
4.727 0.000 1.702
```

## Properties
total moment: 0.4 μB/f.u.
volume: 190.2 Å³/f.u.
total energy: -0.2293 Ha/atom
formation energy without anion corrections: -1.59 eV/atom


Entry 10:
First-principles (PBE) data for DyHoTmPa after structural relaxation, as listed in the Alexandria database.

Geometry as POSCAR:
```
DyHoTmPa
1.0
7.813 0.000 0.000
0.000 7.813 0.000
0.000 0.000 7.813
Dy Ho Tm Pa
4 4 4 4
Cartesian
0.000 0.000 0.000
0.000 3.906 3.906
3.906 0.000 3.906
3.906 3.906 0.000
0.000 0.000 3.906
0.000 3.906 0.000
3.906 0.000 0.000
3.906 3.906 3.906
1.953 1.953 1.953
1.953 5.860 5.860
5.860 1.953 5.860
5.860 5.860 1.953
1.953 1.953 5.860
1.953 5.860 1.953
5.860 1.953 1.953
5.860 5.860 5.860
```

## Properties
total moment: 2.1 μB/f.u.
volume: 119.2 Å³/f.u.
DFT formation energy: 350 meV per atom
total energy: -0.1998 Ha/atom


Entry 11:
First-principles (PBE) data for Dy2HoPb after structural relaxation, as listed in the Alexandria database.

Geometry as POSCAR:
```
Dy2HoPb
1.0
3.524 0.000 0.000
-1.762 3.052 0.000
0.000 0.000 35.985
Dy Ho Pb
6 3 3
Cartesian
0.000 0.000 3.176
0.000 0.000 32.810
0.000 2.035 20.814
0.000 2.035 27.166
1.762 1.017 8.819
1.762 1.017 15.171
0.000 0.000 17.993
0.000 2.035 5.998
1.762 1.017 29.988
0.000 0.000 0.000
0.000 2.035 23.990
1.762 1.017 11.995
```

## Properties
total moment: 0.0 μB/f.u.
volume: 129.0 Å³/f.u.
DFT formation energy: 44 meV per atom
total energy: -0.1591 Ha/atom
energy relative to the lowest polymorph listed for this composition: 0.3191 eV/atom


Entry 12:
First-principles (PBE) data for Dy7Ho12Pb after structural relaxation, as listed in the Alexandria database.

Geometry as POSCAR:
```
Dy7Ho12Pb
1.0
5.971 3.447 5.147
-5.971 3.447 5.147
0.000 -6.895 5.147
Dy Ho Pb
7 12 1
Cartesian
0.000 0.000 0.000
-1.912 -0.564 4.612
1.445 -1.373 4.612
0.467 1.938 4.612
-0.467 -1.938 10.830
-1.445 1.373 10.830
1.912 0.564 10.830
-0.684 -4.023 3.899
-3.142 2.604 3.899
-0.749 -3.130 7.027
-3.085 -0.917 8.415
-3.826 -1.419 11.543
-2.336 2.213 7.027
2.336 -2.213 8.415
3.826 1.419 3.899
3.085 0.917 7.027
0.749 3.130 8.415
3.142 -2.604 11.543
0.684 4.023 11.543
0.000 0.000 7.721
```

## Properties
total moment: 0.0 μB/f.u.
volume: 635.7 Å³/f.u.
DFT formation energy: 157 meV per atom
total energy: -0.1612 Ha/atom


Copy entry 8 word for word.
First-principles (PBE) data for Dy2HoPaS4 after structural relaxation, as listed in the Alexandria database.

Geometry as POSCAR:
```
Dy2HoPaS4
1.0
6.757 0.000 0.000
0.000 3.867 0.000
-2.206 0.000 6.396
Dy Ho Pa S
2 1 1 4
Cartesian
0.000 0.000 0.000
-1.103 1.934 3.198
2.276 0.000 3.198
3.379 1.934 0.000
0.030 0.000 4.778
1.140 1.934 1.610
3.412 1.934 4.785
4.521 0.000 1.618
```

## Properties
total moment: 0.0 μB/f.u.
volume: 167.1 Å³/f.u.
total energy: -0.2516 Ha/atom
formation energy without anion corrections: -1.87 eV/atom